# 1
## LaTlAs2 (SCAN)

Data for LaTlAs2 at its PBEsol-relaxed geometry.

calculated volume	387.31	Å³ per cell
total moment	0.000	μB/atom
DFT formation energy	-492	meV per atom
DOS at the Fermi energy	0.764	states/eV/atom

Cell: 7.289 7.289 7.289 Å, 90.00 90.00 90.00°
Space group Fm-3m (No. 225)
Asymmetric unit:
La 0.000 0.000 0.000 x4
Tl 0.000 0.000 0.500 x4
As 0.250 0.250 0.250 x8

=====

# 2
## LaTl2As (SCAN)

Data for LaTl2As at its PBEsol-relaxed geometry.

calculated volume	217.82	Å³ per cell
total moment	0.000	μB/atom
DFT formation energy	-602	meV per atom
energy above the most stable polymorph in this dataset	9	kJ/mol of formula units
DOS at the Fermi energy	0.255	states/eV/atom

Cell: 10.594 4.173 5.309 Å, 90.00 111.86 90.00°
Space group Cm (No. 8)
Asymmetric unit:
La 0.000 0.000 0.000 x2
Tl 0.072 0.500 0.584 x2
Tl 0.294 0.500 0.354 x2
As 0.278 0.000 0.958 x2

=====

# 3
## La2AsW (SCAN)

Data for La2AsW at its PBEsol-relaxed geometry.

calculated volume	189.70	Å³ per cell
total moment	0.200	μB/atom
DFT formation energy	95	meV per atom
DOS at the Fermi energy	0.741	states/eV/atom

Cell: 4.183 5.238 8.659 Å, 90.00 90.00 90.00°
Space group Cmmm (No. 65)
Asymmetric unit:
La 0.000 0.000 0.246 x4
As 0.000 0.500 0.000 x2
W 0.000 0.500 0.500 x2

=====

# 4
## La2AsW (SCAN)

Data for La2AsW at its PBEsol-relaxed geometry.

calculated volume	182.04	Å³ per cell
total moment	0.510	μB/atom
DFT formation energy	188	meV per atom
DOS at the Fermi energy	1.099	states/eV/atom

Cell: 4.380 4.380 9.490 Å, 90.00 90.00 90.00°
Space group I-4m2 (No. 119)
Asymmetric unit:
La 0.000 0.000 0.000 x2
La 0.000 0.500 0.250 x2
As 0.000 0.500 0.750 x2
W 0.000 0.000 0.500 x2

=====

# 5
## La2AsW (SCAN)

Data for La2AsW at its PBEsol-relaxed geometry.

calculated volume	284.56	Å³ per cell
total moment	0.000	μB/atom
DFT formation energy	141	meV per atom
DOS at the Fermi energy	0.526	states/eV/atom

Cell: 3.5740 3.5740 25.7241 Å, 90.00 90.00 120.00°
Space group R3m (No. 160, hexagonal axes)
Asymmetric unit:
La 0.0000 0.0000 0.0000 x3
La 0.0000 0.0000 0.2281 x3
As 0.0000 0.0000 0.4792 x3
W 0.0000 0.0000 0.7577 x3

=====

# 6
## LaY2As (SCAN)

Data for LaY2As at its PBEsol-relaxed geometry.

calculated volume	371.62	Å³ per cell
total moment	0.181	μB/atom
DFT formation energy	-713	meV per atom
DOS at the Fermi energy	0.828	states/eV/atom

Cell: 3.8786 3.8786 28.5248 Å, 90.00 90.00 120.00°
Space group R3m (No. 160, hexagonal axes)
Asymmetric unit:
La 0.0000 0.0000 0.0000 x3
Y 0.0000 0.0000 0.2268 x3
Y 0.0000 0.0000 0.4582 x3
As 0.0000 0.0000 0.7329 x3

=====

# 7
## LaYAs3 (SCAN)

Data for LaYAs3 at its PBEsol-relaxed geometry.

calculated volume	154.78	Å³ per cell
total moment	0.000	μB/atom
DFT formation energy	61	meV per atom
DOS at the Fermi energy	1.006	states/eV/atom

Cell: 5.369 5.369 5.369 Å, 90.00 90.00 90.00°
Space group Pm-3m (No. 221)
Asymmetric unit:
La 0.000 0.000 0.000 x1
Y 0.500 0.500 0.500 x1
As 0.000 0.000 0.500 x3

=====

# 8
## LaY2As2 (SCAN)

Data for LaY2As2 at its PBEsol-relaxed geometry.

calculated volume	240.97	Å³ per cell
total moment	0.000	μB/atom
DFT formation energy	-1291	meV per atom
DOS at the Fermi energy	0.627	states/eV/atom

Cell: 7.920 7.920 3.842 Å, 90.00 90.00 90.00°
Space group P4/mbm (No. 127)
Asymmetric unit:
La 0.000 0.000 0.000 x2
Y 0.156 0.344 0.500 x4
As 0.143 0.643 0.000 x4

=====

# 9
## LaZn2As (SCAN)

Data for LaZn2As at its PBEsol-relaxed geometry.

calculated volume	81.40	Å³ per cell
total moment	0.000	μB/atom
DFT formation energy	-275	meV per atom
DOS at the Fermi energy	0.583	states/eV/atom

Cell: 3.569 3.569 6.392 Å, 90.00 90.00 90.00°
Space group P4/mmm (No. 123)
Asymmetric unit:
La 0.000 0.000 0.000 x1
Zn 0.500 0.500 0.304 x2
As 0.000 0.000 0.500 x1

=====

# 10
## LaZn2As (SCAN)

Data for LaZn2As at its PBEsol-relaxed geometry.

calculated volume	251.44	Å³ per cell
total moment	0.000	μB/atom
DFT formation energy	-627	meV per atom
DOS at the Fermi energy	0.109	states/eV/atom

Cell: 4.3228 4.3228 15.5374 Å, 90.00 90.00 120.00°
Space group R3m (No. 160, hexagonal axes)
Asymmetric unit:
La 0.0000 0.0000 0.0000 x3
Zn 0.0000 0.0000 0.4741 x3
Zn 0.0000 0.0000 0.7779 x3
As 0.0000 0.0000 0.2127 x3

=====

# 11
## LaZn3As3 (SCAN)

Data for LaZn3As3 at its PBEsol-relaxed geometry.

calculated volume	578.06	Å³ per cell
total moment	0.000	μB/atom
DFT formation energy	-664	meV per atom

Cell: 12.478 4.088 11.332 Å, 90.00 90.00 90.00°
Space group Pnma (No. 62)
Asymmetric unit:
La 0.165 0.250 0.055 x4
Zn 0.047 0.250 0.766 x4
Zn 0.066 0.750 0.463 x4
Zn 0.225 0.250 0.347 x4
As 0.080 0.750 0.883 x4
As 0.140 0.250 0.567 x4
As 0.151 0.750 0.260 x4

=====

# 12
## La2ZnAs4 (SCAN)

Data for La2ZnAs4 at its PBEsol-relaxed geometry.

calculated volume	322.24	Å³ per cell
total moment	0.000	μB/atom
DFT formation energy	-1060	meV per atom
DOS at the Fermi energy	0.423	states/eV/atom

Cell: 3.996 3.996 20.184 Å, 90.00 90.00 90.00°
Space group I-4m2 (No. 119)
Asymmetric unit:
La 0.000 0.000 0.121 x4
Zn 0.000 0.500 0.250 x2
As 0.000 0.000 0.323 x4
As 0.000 0.500 0.000 x4

=====

# 13
## LaZn2As (SCAN)

Data for LaZn2As at its PBEsol-relaxed geometry.

calculated volume	86.40	Å³ per cell
total moment	0.000	μB/atom
DFT formation energy	-395	meV per atom
DOS at the Fermi energy	0.370	states/eV/atom

Cell: 3.709 3.709 6.280 Å, 90.00 90.00 90.00°
Space group P4mm (No. 99)
Asymmetric unit:
La 0.000 0.000 0.000 x1
Zn 0.000 0.000 0.499 x1
Zn 0.500 0.500 0.367 x1
As 0.500 0.500 0.767 x1

=====

# 14
## LaZn4As (SCAN)

Data for LaZn4As at its PBEsol-relaxed geometry.

calculated volume	445.04	Å³ per cell
total moment	0.000	μB/atom
DFT formation energy	-122	meV per atom
DOS at the Fermi energy	0.416	states/eV/atom

Cell: 7.635 7.635 7.635 Å, 90.00 90.00 90.00°
Space group F-43m (No. 216)
Asymmetric unit:
La 0.000 0.000 0.000 x4
Zn 0.124 0.124 0.624 x16
As 0.250 0.250 0.250 x4